InAg2Au at its PBEsol-relaxed geometry, computed with SCAN.

Structure (extended XYZ):
```
4
Lattice="3.148 0.000 0.298 0.000 4.638 0.000 -0.457 0.000 4.834" Properties=species:S:1:pos:R:3 pbc="T T T"
Au 1.712 4.638 2.888
Ag 0.364 0.000 0.353
Ag 1.881 2.319 1.096
In 0.079 2.319 3.362
```

Summary:
Size of the total moment   0.0 μB/f.u.
Formation energy   -0.09 eV/atom

InAg2Au at its PBEsol-relaxed geometry, computed with SCAN.

Structure (extended XYZ):
```
4
Lattice="-1.322 2.185 -1.681 -1.227 -2.136 -1.812 -6.201 -0.274 4.520" Properties=species:S:1:pos:R:3 pbc="T T T"
Au -1.274 0.025 -1.747
Ag -4.715 -0.208 3.437
Ag -1.486 -0.066 1.083
In -4.375 -0.112 0.513
```

Summary:
Size of the total moment   0.0 μB/f.u.
Formation energy   -0.02 eV/atom

InAgAu2 at its PBEsol-relaxed geometry, computed with SCAN.

Structure (extended XYZ):
```
4
Lattice="-2.866 0.935 1.091 -1.651 -2.966 -1.794 0.739 -3.291 4.762" Properties=species:S:1:pos:R:3 pbc="T T T"
Au 0.734 -3.271 4.733
Au -2.073 -1.840 0.841
Ag -1.697 -3.516 3.267
In 0.366 -1.632 2.362
```

Summary:
Size of the total moment   0.0 μB/f.u.
Formation energy   -0.09 eV/atom

InAgAu2 at its PBEsol-relaxed geometry, computed with SCAN.

Structure (extended XYZ):
```
4
Lattice="3.188 0.000 0.000 0.000 4.819 -0.126 -1.594 -1.079 4.676" Properties=species:S:1:pos:R:3 pbc="T T T"
Au 0.000 0.680 2.304
Au 1.594 3.060 2.246
Ag 0.000 2.409 -0.063
In 1.594 0.000 0.000
```

Summary:
Size of the total moment   0.0 μB/f.u.
Formation energy   -0.08 eV/atom